--- i ---
A plane-wave DFT calculation with PBE was carried out for a relaxed LaMg2InNi crystal.

Magnetization in μB/f.u.: 0.00

a b c (Å): 5.0341 5.0341 5.0651
angles (deg): 90.00 90.00 90.00
Closest atoms and distances in Å follow each position.
Fractional positions:
La 0.0000 0.0000 0.0000  2 Ni 2.53
Mg 0.0000 0.5000 0.5000  2 Ni 2.52
Mg 0.5000 0.0000 0.5000  2 Ni 2.52
In 0.5000 0.5000 0.0000  4 La 3.56, 8 Mg 3.57
Ni 0.0000 0.0000 0.5000  4 Mg 2.52, 2 La 2.53



--- ii ---
A plane-wave DFT calculation with PBE was carried out for a relaxed LaMg2InNi crystal.

Magnetization in μB/f.u.: 0.00

a b c (Å): 4.8887 4.8887 4.9512
angles (deg): 90.00 90.00 90.00
Closest atoms and distances in Å follow each position.
Fractional positions:
La 0.0000 0.0000 0.0000  4 In 3.46, 8 Mg 3.48
Mg 0.0000 0.5000 0.5000  2 Ni 2.44
Mg 0.5000 0.0000 0.5000  2 Ni 2.44
In 0.5000 0.5000 0.0000  2 Ni 2.48
Ni 0.5000 0.5000 0.5000  4 Mg 2.44, 2 In 2.48



Quick one: least stable of them? i



--- i ---
A plane-wave DFT calculation with PBE was carried out for a relaxed La2MnIn2 crystal.

Magnetization in μB/f.u.: 0.00

a b c (Å): 9.7329 9.7329 9.7329
angles (deg): 156.78 156.78 33.07
Closest atoms and distances in Å follow each position.
Fractional positions:
La 0.0861 0.0861 0.0000  4 Mn 3.20, 1 La 3.21
La 0.9139 0.9139 0.0000  4 Mn 3.20, 1 La 3.21
Mn 0.5000 0.5000 0.0000  8 La 3.20
In 0.2500 0.7500 0.5000  4 In 2.77
In 0.7500 0.2500 0.5000  4 In 2.77



--- ii ---
A plane-wave DFT calculation with PBE was carried out for a relaxed La2MnIn2 crystal.

Magnetization in μB/f.u.: 0.00

a b c (Å): 7.0142 7.0142 5.7008
angles (deg): 90.00 90.00 90.00
Closest atoms and distances in Å follow each position.
Fractional positions:
La 0.1728 0.3272 0.0000  2 Mn 2.60
La 0.3272 0.8272 0.0000  2 Mn 2.60
La 0.6728 0.1728 0.0000  2 Mn 2.60
La 0.8272 0.6728 0.0000  2 Mn 2.60
Mn 0.0000 0.0000 0.0000  4 La 2.60
Mn 0.5000 0.5000 0.0000  4 La 2.60
In 0.1563 0.6563 0.5000  1 In 3.10, 2 La 3.32
In 0.3437 0.1563 0.5000  1 In 3.10, 2 La 3.32
In 0.6563 0.8437 0.5000  1 In 3.10, 2 La 3.32
In 0.8437 0.3437 0.5000  1 In 3.10, 2 La 3.32



--- iii ---
A plane-wave DFT calculation with PBE was carried out for a relaxed La2MnIn2 crystal.

Magnetization in μB/f.u.: 0.21

a b c (Å): 7.3910 7.3910 4.9977
angles (deg): 90.00 90.00 90.00
Closest atoms and distances in Å follow each position.
Fractional positions:
La 0.1637 0.3363 0.0000  6 In 3.19-3.39, 1 La 3.42
La 0.3363 0.8363 0.0000  6 In 3.19-3.39, 1 La 3.42
La 0.6637 0.1637 0.0000  6 In 3.19-3.39, 1 La 3.42
La 0.8363 0.6637 0.0000  6 In 3.19-3.39, 1 La 3.42
Mn 0.0000 0.0000 0.5000  4 In 2.83
Mn 0.5000 0.5000 0.5000  4 In 2.83
In 0.1467 0.6467 0.5000  2 Mn 2.83, 1 In 3.07
In 0.3533 0.1467 0.5000  2 Mn 2.83, 1 In 3.07
In 0.6467 0.8533 0.5000  2 Mn 2.83, 1 In 3.07
In 0.8533 0.3533 0.5000  2 Mn 2.83, 1 In 3.07



Quick one: least stable of them? i